1.
Below is an optimized crystal structure of Cs2As, with properties calculated at the PBE level.

Lattice parameters (Å, degrees): 18.320 4.565 11.586 90.00 122.68 90.00
Space group C2/m (No. 12)
Unique sites:
Cs: 0.045 0.000 0.314 [4 per cell]
Cs: 0.218 0.500 0.202 [4 per cell]
As: 0.221 0.500 0.520 [4 per cell]

Computed properties:
- Total DFT energy (no corrections): -28.6 eV per cell
- Energy of formation: -0.268 eV/atom
- ρ: 2775 kg/m3
- Volume: 67.97 Å³/atom
- N(E_F): 0.496 states/eV/atom

---

2.
Below is an optimized crystal structure of RePt3, with properties calculated at the PBE level.

Lattice parameters (Å, degrees): 9.225 2.771 4.863 90.00 99.45 90.00
Space group C2/m (No. 12)
Unique sites:
Re: 0.000 0.000 0.000 [2 per cell]
Pt: 0.000 0.500 0.500 [2 per cell]
Pt: 0.246 0.500 0.241 [4 per cell]

Computed properties:
- Total DFT energy (no corrections): -61.9 eV per cell
- Energy of formation: -0.089 eV/atom
- ρ: 20897 kg/m3
- Volume: 15.33 Å³/atom
- N(E_F): 0.777 states/eV/atom

---

3.
Below is an optimized crystal structure of CaYTm, with properties calculated at the PBE level.

Lattice parameters (Å, degrees): 6.303 3.640 9.191 90.00 103.31 90.00
Space group P2_1/m (No. 11)
Unique sites:
Ca: 0.248 0.250 0.497 [2 per cell]
Y: 0.469 0.250 0.155 [2 per cell]
Tm: 0.032 0.250 0.848 [2 per cell]

Computed properties:
- Total DFT energy (no corrections): -25.5 eV per cell
- Energy of formation: 0.069 eV/atom
- ρ: 4821 kg/m3
- Volume: 34.20 Å³/atom
- N(E_F): 1.580 states/eV/atom

---

4.
Below is an optimized crystal structure of PrFePH, with properties calculated at the PBE level.

Lattice parameters (Å, degrees): 3.833 3.833 8.010 90.00 90.00 90.00
Space group P4/nmm (No. 129, origin choice 2)
Unique sites:
Pr: 0.250 0.250 0.181 [2 per cell]
Fe: 0.250 0.750 0.500 [2 per cell]
P: 0.250 0.250 0.641 [2 per cell]
H: 0.250 0.750 0.000 [2 per cell]

Computed properties:
- Total DFT energy (no corrections): -51.2 eV per cell
- ρ: 6454 kg/m3
- Volume: 14.71 Å³/atom
- N(E_F): 0.548 states/eV/atom

---

5.
Below is an optimized crystal structure of Ca6AcSn4, with properties calculated at the PBE level.

Lattice parameters (Å, degrees): 8.358 8.358 11.852 90.00 90.00 90.00
Space group I-42m (No. 121)
Unique sites:
Ca: 0.000 0.500 0.000 [4 per cell]
Ca: 0.154 0.154 0.339 [8 per cell]
Ac: 0.000 0.000 0.000 [2 per cell]
Sn: 0.229 0.229 0.602 [8 per cell]

Computed properties:
- Total DFT energy (no corrections): -74.3 eV per cell
- Energy of formation: -0.455 eV/atom
- ρ: 3780 kg/m3
- Volume: 37.63 Å³/atom
- N(E_F): 1.170 states/eV/atom

---

6.
Below is an optimized crystal structure of UZnGaRu, with properties calculated at the PBE level.

Lattice parameters (Å, degrees): 6.556 6.556 6.556 90.00 90.00 90.00
Space group F-43m (No. 216)
Unique sites:
U: 0.000 0.000 0.000 [4 per cell]
Zn: 0.250 0.250 0.750 [4 per cell]
Ga: 0.000 0.000 0.500 [4 per cell]
Ru: 0.250 0.250 0.250 [4 per cell]

Computed properties:
- Total DFT energy (no corrections): -99.2 eV per cell
- Energy of formation: 0.015 eV/atom
- ρ: 11179 kg/m3
- Volume: 17.61 Å³/atom
- N(E_F): 1.655 states/eV/atom